Record 1
A relaxed structure of CrMo2SeBr. Source: Alexandria, functional PBE.

Results
energy above the most stable polymorph in this dataset: 778 meV per atom
total magnetic moment: 3.109 μB/cell

The structure in CIF format:
```
data_CrMo2SeBr
_chemical_formula_sum 'Cr1 Mo2 Se1 Br1'
_symmetry_space_group_name_H-M 'P 4/m m m'
_symmetry_Int_Tables_number 123
_symmetry_space_group_name_Hall '-P 4 2'
_cell_length_a 4.633
_cell_length_b 4.633
_cell_length_c 5.585
_cell_angle_alpha 90.00
_cell_angle_beta 90.00
_cell_angle_gamma 90.00
loop_
_atom_site_label
_atom_site_fract_x
_atom_site_fract_y
_atom_site_fract_z
_atom_site_occupancy
Cr1 0.000 0.000 0.000 1
Mo1 0.000 0.500 0.500 1
Se1 0.500 0.500 0.500 1
Br1 0.500 0.500 0.000 1
```

=====

Record 2
A relaxed structure of Ce2SmTc. Source: Alexandria, functional PBE.

Results
energy above the most stable polymorph in this dataset: 0 meV per atom
ΔH_f (0 K): -14 meV per atom
total magnetic moment: 2.974 μB/cell

The structure in CIF format:
```
data_Ce2SmTc
_chemical_formula_sum 'Ce8 Sm4 Tc4'
_symmetry_space_group_name_H-M 'C m c m'
_symmetry_Int_Tables_number 63
_symmetry_space_group_name_Hall '-C 2c 2'
_cell_length_a 10.975
_cell_length_b 6.604
_cell_length_c 6.069
_cell_angle_alpha 90.00
_cell_angle_beta 90.00
_cell_angle_gamma 90.00
loop_
_atom_site_label
_atom_site_fract_x
_atom_site_fract_y
_atom_site_fract_z
_atom_site_occupancy
Ce1 0.180 0.169 0.250 1
Sm1 0.000 0.374 0.750 1
Tc1 0.000 0.000 0.000 1
```

=====

Record 3
A relaxed structure of TeAsRuN2. Source: Alexandria, functional PBE.

Results
energy above the most stable polymorph in this dataset: 0 meV per atom
total magnetic moment: 0.904 μB/cell

The structure in CIF format:
```
data_TeAsRuN2
_chemical_formula_sum 'Te1 As1 Ru1 N2'
_symmetry_space_group_name_H-M 'P 4/m m m'
_symmetry_Int_Tables_number 123
_symmetry_space_group_name_Hall '-P 4 2'
_cell_length_a 3.865
_cell_length_b 3.865
_cell_length_c 5.826
_cell_angle_alpha 90.00
_cell_angle_beta 90.00
_cell_angle_gamma 90.00
loop_
_atom_site_label
_atom_site_fract_x
_atom_site_fract_y
_atom_site_fract_z
_atom_site_occupancy
Te1 0.000 0.000 0.000 1
As1 0.500 0.500 0.000 1
Ru1 0.000 0.000 0.500 1
N1 0.000 0.500 0.500 1
```

=====

Record 4
A relaxed structure of MgFeSeN2. Source: Alexandria, functional PBE.

Results
energy above the most stable polymorph in this dataset: 0 meV per atom
total magnetic moment: 0.398 μB/cell

The structure in CIF format:
```
data_MgFeSeN2
_chemical_formula_sum 'Mg1 Fe1 Se1 N2'
_symmetry_space_group_name_H-M 'P 4/m m m'
_symmetry_Int_Tables_number 123
_symmetry_space_group_name_Hall '-P 4 2'
_cell_length_a 3.631
_cell_length_b 3.631
_cell_length_c 5.273
_cell_angle_alpha 90.00
_cell_angle_beta 90.00
_cell_angle_gamma 90.00
loop_
_atom_site_label
_atom_site_fract_x
_atom_site_fract_y
_atom_site_fract_z
_atom_site_occupancy
Mg1 0.000 0.000 0.000 1
Fe1 0.500 0.500 0.500 1
Se1 0.500 0.500 0.000 1
N1 0.000 0.500 0.500 1
```

=====

Record 5
A relaxed structure of ZnCoCl2. Source: Alexandria, functional PBE.

Results
energy above the most stable polymorph in this dataset: 128 meV per atom
total magnetic moment: 5.541 μB/cell

The structure in CIF format:
```
data_ZnCoCl2
_chemical_formula_sum 'Zn2 Co2 Cl4'
_symmetry_space_group_name_H-M 'C 1 2/m 1'
_symmetry_Int_Tables_number 12
_cell_length_a 6.088
_cell_length_b 3.299
_cell_length_c 9.009
_cell_angle_alpha 90.00
_cell_angle_beta 90.04
_cell_angle_gamma 90.00
loop_
_symmetry_equiv_pos_as_xyz
'x,y,z'
'-x,-y,-z'
'-x,y,-z'
'x,-y,z'
'x+1/2,y+1/2,z'
'-x+1/2,-y+1/2,-z'
'-x+1/2,y+1/2,-z'
'x+1/2,-y+1/2,z'
loop_
_atom_site_label
_atom_site_fract_x
_atom_site_fract_y
_atom_site_fract_z
_atom_site_occupancy
Zn1 0.000 0.000 0.000 1
Co1 0.000 0.500 0.500 1
Cl1 0.171 0.000 0.344 1
```

=====

Record 6
A relaxed structure of NpMn2Ni. Source: Alexandria, functional PBE.

Results
ΔH_f (0 K): 36 meV per atom
total magnetic moment: 2.428 μB/cell

The structure in CIF format:
```
data_NpMn2Ni
_chemical_formula_sum 'Np1 Mn2 Ni1'
_symmetry_space_group_name_H-M 'P 4/m m m'
_symmetry_Int_Tables_number 123
_symmetry_space_group_name_Hall '-P 4 2'
_cell_length_a 3.923
_cell_length_b 3.923
_cell_length_c 3.699
_cell_angle_alpha 90.00
_cell_angle_beta 90.00
_cell_angle_gamma 90.00
loop_
_atom_site_label
_atom_site_fract_x
_atom_site_fract_y
_atom_site_fract_z
_atom_site_occupancy
Np1 0.000 0.000 0.000 1
Mn1 0.000 0.500 0.500 1
Ni1 0.500 0.500 0.000 1
```

=====

Record 7
A relaxed structure of Tc4HgO12. Source: Alexandria, functional PBE.

Results
total DFT energy (no corrections): -7.111 eV/atom
total magnetic moment: 0.004 μB/cell

The structure in CIF format:
```
data_Tc4HgO12
_chemical_formula_sum 'Tc8 Hg2 O24'
_symmetry_space_group_name_H-M 'I 4/m m m'
_symmetry_Int_Tables_number 139
_symmetry_space_group_name_Hall '-I 4 2'
_cell_length_a 7.574
_cell_length_b 7.574
_cell_length_c 7.729
_cell_angle_alpha 90.00
_cell_angle_beta 90.00
_cell_angle_gamma 90.00
loop_
_atom_site_label
_atom_site_fract_x
_atom_site_fract_y
_atom_site_fract_z
_atom_site_occupancy
Tc1 0.250 0.250 0.250 1
Hg1 0.000 0.000 0.000 1
O1 0.000 0.250 0.276 1
O2 0.217 0.217 0.000 1
```

=====

Record 8
A relaxed structure of K3RbGa. Source: Alexandria, functional PBE.

Results
energy above the most stable polymorph in this dataset: 0 meV per atom
ΔH_f (0 K): 114 meV per atom
total magnetic moment: 0.000 μB/cell

The structure in CIF format:
```
data_K3RbGa
_chemical_formula_sum 'K3 Rb1 Ga1'
_symmetry_space_group_name_H-M 'P m -3 m'
_symmetry_Int_Tables_number 221
_symmetry_space_group_name_Hall '-P 4 2 3'
_cell_length_a 6.843
_cell_length_b 6.843
_cell_length_c 6.843
_cell_angle_alpha 90.00
_cell_angle_beta 90.00
_cell_angle_gamma 90.00
loop_
_atom_site_label
_atom_site_fract_x
_atom_site_fract_y
_atom_site_fract_z
_atom_site_occupancy
K1 0.000 0.000 0.500 1
Rb1 0.500 0.500 0.500 1
Ga1 0.000 0.000 0.000 1
```